Below is an optimized crystal structure of AlGa2AuSe6, with properties calculated at the PBE-GGA level.

a b c (Å): 8.4740 8.4740 6.7117
angles (deg): 98.06 98.06 86.89
Fractional positions:
Al 0.2391 0.7609 0.7500
Al 0.7609 0.2391 0.2500
Ga 0.0920 0.2754 0.7887
Ga 0.2754 0.0920 0.2887
Ga 0.7246 0.9080 0.7113
Ga 0.9080 0.7246 0.2113
Au 0.3931 0.6069 0.2500
Au 0.6069 0.3931 0.7500
Se 0.0369 0.2183 0.1182
Se 0.1264 0.5965 0.4179
Se 0.2183 0.0369 0.6182
Se 0.2993 0.4830 0.8812
Se 0.4035 0.8736 0.0821
Se 0.4830 0.2993 0.3812
Se 0.5170 0.7007 0.6188
Se 0.5965 0.1264 0.9179
Se 0.7007 0.5170 0.1188
Se 0.7817 0.9631 0.3818
Se 0.8736 0.4035 0.5821
Se 0.9631 0.7817 0.8818

Computed properties:
Energy in eV/atom: -3.79
Space group: C2/c, No. 15